# PBE MnCu2Bi, optimized geometry
data_MnCu2Bi
_chemical_formula_sum 'Mn2 Cu4 Bi2'
_space_group_name_H-M_alt 'P 1'
_space_group_IT_number 1
_cell_length_a 4.039
_cell_length_b 4.039
_cell_length_c 9.600
_cell_angle_alpha 77.86
_cell_angle_beta 77.86
_cell_angle_gamma 90.00
loop_
_space_group_symop_operation_xyz
'x,y,z'
loop_
_atom_site_label
_atom_site_type_symbol
_atom_site_fract_x
_atom_site_fract_y
_atom_site_fract_z
Mn1 Mn 0.500 0.500 0.000
Mn2 Mn 0.250 0.750 0.500
Bi1 Bi 0.000 0.000 0.000
Bi2 Bi 0.750 0.250 0.500
Cu1 Cu 0.569 0.125 0.250
Cu2 Cu 0.181 0.625 0.250
Cu3 Cu 0.375 0.431 0.750
Cu4 Cu 0.875 0.819 0.750
# - spin magnetization (Bohr magnetons per cell) = 7.9
# - VASP energy (eV/atom) = -4.856
# - N(E_F) (states/eV/atom) = 0.673